## PuPHRh2 (GGA-PBE)

Data for an optimized crystal structure of PuPHRh2.

Computed properties:
DOS at the Fermi energy = 42.3 states/eV/cell

a b c (Å): 3.8181 10.6111 7.0156
angles (deg): 90.00 90.00 90.00
Closest atoms and distances in Å follow each position.
Space group Cmcm (No. 63)
Symmetry-distinct sites (fractional):
Pu (0.0000, 0.0539, 0.2500)  4 H 2.65, 1 P 2.97
P (0.0000, 0.2255, 0.7500)  6 Rh 2.44
H (0.0000, 0.5000, 0.0000)  2 Rh 1.77
Rh (0.0000, 0.3368, 0.0542)  1 H 1.77

---

## Sm2TmSnC (GGA-PBE)

Data for an optimized crystal structure of Sm2TmSnC.

Computed properties:
DOS at the Fermi energy = 2.1 states/eV/cell
Calculated formation energy = -567 meV/atom

a b c (Å): 5.0312 5.0312 4.8222
angles (deg): 90.00 90.00 90.00
Closest atoms and distances in Å follow each position.
Space group P4/mmm (No. 123)
Symmetry-distinct sites (fractional):
Sm (0.0000, 0.5000, 0.0000)  2 C 2.52
Tm (0.0000, 0.0000, 0.5000)  2 C 2.41
Sn (0.5000, 0.5000, 0.5000)  8 Sm 3.48, 4 Tm 3.56
C (0.0000, 0.0000, 0.0000)  2 Tm 2.41, 4 Sm 2.52

---

## YNF3 (GGA-PBE)

Data for an optimized crystal structure of YNF3.

Computed properties:
DOS at the Fermi energy = 2.9 states/eV/cell
Energy relative to the lowest polymorph listed for this composition = 1.4762 eV per atom
Formation energy (no corrections) = -0.754 eV per atom

a b c (Å): 3.9781 3.9781 3.9781
angles (deg): 90.00 90.00 90.00
Closest atoms and distances in Å follow each position.
Space group Pm-3m (No. 221)
Symmetry-distinct sites (fractional):
Y (0.0000, 0.0000, 0.0000)  12 F 2.81
N (0.5000, 0.5000, 0.5000)  6 F 1.99
F (0.0000, 0.5000, 0.5000)  2 N 1.99

---

We obtain E values of -41.2, -30.0, -24.2 eV per formula unit for the records listed above, in that order.